Rb2MgIn | PBE | optimized geometry

Output
**Formation energy from the elements**: 0.297 eV/atom
**M_tot**: 0.0 μB/f.u.

abc: 10.4725 10.4725 6.9640
angles: 90.00 90.00 90.00
With the nearest neighbours (Å) after each atom.
Space group I-42d (No. 122)
One atom of each set of equivalent atoms:
1 Rb 0.2405 0.2500 0.1250 x8  2 Rb 3.49, 2 In 3.74, 2 Mg 3.87
2 Mg 0.0000 0.0000 0.5000 x4  2 In 3.48, 4 Rb 3.87
3 In 0.0000 0.0000 0.0000 x4  2 Mg 3.48, 4 Rb 3.74